## SrCdFe2 (PBE)

Data for an optimized crystal structure of SrCdFe2.

abc: 3.6261 3.6261 6.7318
angles: 90.00 90.00 90.00
With the nearest neighbours (Å) after each atom.
Element x y z (fractional)
Fe  0.0000  0.0000  0.5879  1 Fe 2.18
Fe  0.0000  0.0000  0.9121  1 Fe 2.18
Cd  0.5000  0.5000  0.7500  8 Fe 2.79
Sr  0.5000  0.5000  0.2500  2 Cd 3.37, 8 Fe 3.43, 4 Sr 3.63

Results
DOS at the Fermi energy = 3.95 states/eV per cell
total magnetic moment = 5.278 μB/cell
VASP energy = -4.351 eV/atom

## K2LaBr (PBE)

Data for an optimized crystal structure of K2LaBr.

abc: 3.9817 5.9707 7.1196
angles: 90.00 90.00 90.00
With the nearest neighbours (Å) after each atom.
Element x y z (fractional)
K  0.5000  0.5000  0.0000  6 K 3.59-3.98
Br  0.0000  0.5000  0.5000  4 La 3.59, 2 Br 3.98
K  0.0000  0.0000  0.0000  6 K 3.59-3.98
La  0.5000  0.0000  0.5000  4 Br 3.59, 2 La 3.98

Results
DOS at the Fermi energy = 4.15 states/eV per cell
total magnetic moment = 1.414 μB/cell
excess energy over the best structure of this formula in the dataset = 38.38 kJ per mole of atoms
energy relative to the elements, uncorrected = -15.34 kJ/mol of atoms

## Y6Sb3Se2S (PBE)

Data for an optimized crystal structure of Y6Sb3Se2S.

abc: 7.3045 7.3045 7.2962
angles: 99.64 99.64 119.86
With the nearest neighbours (Å) after each atom.
Element x y z (fractional)
Y  0.2454  0.2454  0.7628  1 S 2.88, 2 Se 2.95, 3 Sb 3.04-3.09
Y  0.9228  0.5983  0.7681  1 S 2.86, 2 Se 2.94-2.95, 3 Sb 3.03-3.07
Sb  0.1705  0.8295  0.5000  6 Y 3.03-3.07
Y  0.0772  0.4017  0.2319  1 S 2.86, 2 Se 2.94-2.95, 3 Sb 3.03-3.07
Sb  0.5000  0.5000  0.5000  6 Y 3.03-3.09
Y  0.4017  0.0772  0.2319  1 S 2.86, 2 Se 2.94-2.95, 3 Sb 3.03-3.07
Se  0.6656  0.3344  0.0000  6 Y 2.94-2.95
Se  0.3344  0.6656  0.0000  6 Y 2.94-2.95
S  0.0000  0.0000  0.0000  6 Y 2.86-2.88
Y  0.5983  0.9228  0.7681  1 S 2.86, 2 Se 2.94-2.95, 3 Sb 3.03-3.07
Sb  0.8295  0.1705  0.5000  6 Y 3.03-3.07
Y  0.7546  0.7546  0.2372  1 S 2.88, 2 Se 2.95, 3 Sb 3.04-3.09

Results
DOS at the Fermi energy = 4.85 states/eV per cell
total magnetic moment = 0.000 μB/cell
energy relative to the elements, uncorrected = -144.01 kJ/mol of atoms

- Among the records above, which one has the highest DOS at the Fermi energy?
  Y6Sb3Se2S

- Number 1 is which compound?
  SrCdFe2

- The lowest DOS at the Fermi energy belongs to which entry?
  SrCdFe2